! PBE with a Hubbard U Li3MoF, relaxed; values from VASP
&SYSTEM
  ibrav = 0, nat = 5, ntyp = 3
/
ATOMIC_SPECIES
Mo 95.94 Mo.upf
Li 6.94 Li.upf
F 19.00 F.upf
CELL_PARAMETERS angstrom
-4.001 -2.605 2.641
-1.349 -2.596 -4.605
3.456 -4.030 1.260
ATOMIC_POSITIONS crystal
Mo 0.000 0.000 0.000
Li 0.000 0.500 0.000
Li 0.000 0.000 0.500
Li 0.500 0.000 0.000
F 0.500 0.500 0.500
! E above lowest polymorph (meV/atom): 995